# PBE+U VIrPdO6, optimized geometry
# - Crystal system: trigonal
# - SG: No. 163
# - Density: 7582 kg/m³
# - DOS(E_F): 10.7 states/eV per cell
# - Energy: -6.6741 eV/atom
data_VIrPdO6
_cell_length_a 4.984
_cell_length_b 4.984
_cell_length_c 9.073
_cell_angle_alpha 90.00
_cell_angle_beta 90.00
_cell_angle_gamma 120.00
_space_group_name_H-M_alt 'P 1'
_space_group_IT_number 1
loop_
_space_group_symop_operation_xyz
'x,y,z'
loop_
_atom_site_label
_atom_site_type_symbol
_atom_site_fract_x
_atom_site_fract_y
_atom_site_fract_z
V1 V 0.333 0.667 0.250
V2 V 0.667 0.333 0.750
Ir1 Ir 0.333 0.667 0.750
Ir2 Ir 0.667 0.333 0.250
Pd1 Pd 0.000 0.000 0.000
Pd2 Pd 0.000 0.000 0.500
O1 O 0.013 0.355 0.131
O2 O 0.013 0.658 0.369
O3 O 0.342 0.355 0.369
O4 O 0.342 0.987 0.131
O5 O 0.355 0.013 0.631
O6 O 0.355 0.342 0.869
O7 O 0.645 0.658 0.131
O8 O 0.645 0.987 0.369
O9 O 0.658 0.013 0.869
O10 O 0.658 0.645 0.631
O11 O 0.987 0.342 0.631
O12 O 0.987 0.645 0.869